# 1
Computed, not measured: a relaxed Zr2GaAu crystal at the PBE-GGA level of DFT.

Properties
Mass density = 8.6 g/cm³
Space group = No. 160
ΔH_f (0 K) = -0.212 eV/atom

a = 4.3427 Å, b = 4.3420 Å, c = 5.8459 Å
α = 90.01°, β = 111.83°, γ = 119.98°
Last column: nearest neighbours and their distance in Å.
Fractional positions:
Zr  0.1715  0.8357  0.0070  3 Au 2.77
Zr  0.5833  0.0418  0.6254  3 Ga 2.80
Ga  0.7587  0.6294  0.3881  3 Au 2.64, 3 Zr 2.80
Au  0.9864  0.2432  0.2295  3 Ga 2.64, 3 Zr 2.77



# 2
Computed, not measured: a relaxed Zr4Ga3Au crystal at the PBE-GGA level of DFT.

Properties
Mass density = 8.0 g/cm³
Space group = No. 25
ΔH_f (0 K) = -0.559 eV/atom

a = 3.8513 Å, b = 3.9542 Å, c = 10.4757 Å
α = 90.00°, β = 90.00°, γ = 90.00°
Last column: nearest neighbours and their distance in Å.
Fractional positions:
Zr  0.5000  0.5000  0.3598  6 Ga 2.83-3.01, 1 Au 2.93
Zr  0.0000  0.5000  0.8493  5 Ga 2.82-2.84, 2 Au 3.09
Zr  0.0000  0.0000  0.1527  1 Ga 2.81, 4 Au 2.86
Zr  0.5000  0.0000  0.6446  7 Ga 2.81-3.04
Ga  0.0000  0.5000  0.5804  2 Ga 2.59, 5 Zr 2.82-2.84
Ga  0.0000  0.0000  0.4206  2 Ga 2.59, 5 Zr 2.81-2.83
Ga  0.5000  0.0000  0.9125  2 Au 2.64, 5 Zr 2.81-2.84
Au  0.5000  0.5000  0.0801  2 Ga 2.64, 5 Zr 2.86-2.93



# 3
Computed, not measured: a relaxed Zr3GaAu crystal at the PBE-GGA level of DFT.

Properties
Mass density = 7.3 g/cm³
Space group = No. 221
Excess energy over the best structure of this formula in the dataset = 0.00 eV/f.u.
ΔH_f (0 K) = 0.413 eV/atom

a = 4.9631 Å, b = 4.9631 Å, c = 4.9631 Å
α = 90.00°, β = 90.00°, γ = 90.00°
Last column: nearest neighbours and their distance in Å.
Fractional positions:
Au  0.5000  0.5000  0.5000  12 Zr 3.51
Ga  0.0000  0.0000  0.0000  6 Zr 2.48
Zr  0.0000  0.5000  0.0000  2 Ga 2.48
Zr  0.0000  0.0000  0.5000  2 Ga 2.48
Zr  0.5000  0.0000  0.0000  2 Ga 2.48



# 4
Computed, not measured: a relaxed Zr2GaAu crystal at the PBE-GGA level of DFT.

Properties
Mass density = 9.6 g/cm³
Space group = No. 123
ΔH_f (0 K) = -0.501 eV/atom

a = 4.1421 Å, b = 4.3317 Å, c = 4.3317 Å
α = 90.00°, β = 90.00°, γ = 90.00°
Last column: nearest neighbours and their distance in Å.
Fractional positions:
Au  0.5000  0.5000  0.5000  8 Zr 3.00, 4 Ga 3.06
Ga  0.5000  0.0000  0.0000  8 Zr 3.00, 4 Au 3.06
Zr  0.0000  0.0000  0.5000  4 Ga 3.00, 4 Au 3.00, 4 Zr 3.06
Zr  0.0000  0.5000  0.0000  4 Ga 3.00, 4 Au 3.00, 4 Zr 3.06



# 5
Computed, not measured: a relaxed Zr4GaAu crystal at the PBE-GGA level of DFT.

Properties
Mass density = 8.3 g/cm³
Space group = No. 124
Excess energy over the best structure of this formula in the dataset = 0.00 eV/f.u.
ΔH_f (0 K) = -0.396 eV/atom

a = 5.4316 Å, b = 6.8154 Å, c = 6.8154 Å
α = 90.00°, β = 90.00°, γ = 90.00°
Last column: nearest neighbours and their distance in Å.
Fractional positions:
Zr  0.0000  0.1584  0.6504  2 Ga 2.88, 2 Au 2.95, 1 Zr 2.98
Zr  0.0000  0.8416  0.3496  2 Ga 2.88, 2 Au 2.95, 1 Zr 2.98
Zr  0.0000  0.3496  0.1584  2 Ga 2.88, 2 Au 2.95, 1 Zr 2.98
Zr  0.0000  0.6504  0.8416  2 Ga 2.88, 2 Au 2.95, 1 Zr 2.98
Zr  0.5000  0.8416  0.6504  2 Ga 2.88, 2 Au 2.95, 1 Zr 2.98
Zr  0.5000  0.1584  0.3496  2 Ga 2.88, 2 Au 2.95, 1 Zr 2.98
Zr  0.5000  0.6504  0.1584  2 Ga 2.88, 2 Au 2.95, 1 Zr 2.98
Zr  0.5000  0.3496  0.8416  2 Ga 2.88, 2 Au 2.95, 1 Zr 2.98
Ga  0.2500  0.5000  0.5000  2 Ga 2.72, 8 Zr 2.88
Ga  0.7500  0.5000  0.5000  2 Ga 2.72, 8 Zr 2.88
Au  0.2500  0.0000  0.0000  2 Au 2.72, 8 Zr 2.95
Au  0.7500  0.0000  0.0000  2 Au 2.72, 8 Zr 2.95



# 6
Computed, not measured: a relaxed ZrGaAu2 crystal at the PBE-GGA level of DFT.

Properties
Mass density = 11.5 g/cm³
Space group = No. 122
ΔH_f (0 K) = -0.184 eV/atom

a = 4.0596 Å, b = 4.0596 Å, c = 10.1427 Å
α = 78.46°, β = 78.46°, γ = 90.00°
Last column: nearest neighbours and their distance in Å.
Fractional positions:
Au  0.6149  0.1250  0.2500  2 Ga 2.81, 4 Au 2.81-2.93, 2 Zr 2.84
Au  0.1351  0.6250  0.2500  2 Ga 2.81, 4 Au 2.81-2.93, 2 Zr 2.84
Au  0.3750  0.3851  0.7500  2 Ga 2.81, 4 Au 2.81-2.93, 2 Zr 2.84
Au  0.8750  0.8649  0.7500  2 Ga 2.81, 4 Au 2.81-2.93, 2 Zr 2.84
Ga  0.5000  0.5000  0.0000  4 Au 2.81, 4 Zr 2.87
Ga  0.2500  0.7500  0.5000  4 Au 2.81, 4 Zr 2.87
Zr  0.0000  0.0000  0.0000  4 Au 2.84, 4 Ga 2.87
Zr  0.7500  0.2500  0.5000  4 Au 2.84, 4 Ga 2.87



# 7
Computed, not measured: a relaxed Zr2GaAu crystal at the PBE-GGA level of DFT.

Properties
Mass density = 8.8 g/cm³
Space group = No. 166
ΔH_f (0 K) = -0.280 eV/atom

a = 3.4695 Å, b = 3.4695 Å, c = 8.3883 Å
α = 78.06°, β = 78.06°, γ = 60.00°
Last column: nearest neighbours and their distance in Å.
Fractional positions:
Au  0.0000  0.0000  0.0000  6 Zr 2.91
Ga  0.5000  0.5000  0.5000  6 Zr 2.81
Zr  0.2471  0.2471  0.2587  3 Ga 2.81, 3 Au 2.91
Zr  0.7529  0.7529  0.7413  3 Ga 2.81, 3 Au 2.91



# 8
Computed, not measured: a relaxed ZrGaAu2 crystal at the PBE-GGA level of DFT.

Properties
Mass density = 12.3 g/cm³
Space group = No. 123
ΔH_f (0 K) = -0.387 eV/atom

a = 4.1000 Å, b = 4.2748 Å, c = 4.2748 Å
α = 90.00°, β = 90.00°, γ = 90.00°
Last column: nearest neighbours and their distance in Å.
Fractional positions:
Au  0.0000  0.0000  0.5000  4 Zr 2.96, 4 Ga 2.96, 4 Au 3.02
Au  0.0000  0.5000  0.0000  4 Zr 2.96, 4 Ga 2.96, 4 Au 3.02
Ga  0.5000  0.0000  0.0000  8 Au 2.96, 4 Zr 3.02
Zr  0.5000  0.5000  0.5000  8 Au 2.96, 4 Ga 3.02



# 9
Computed, not measured: a relaxed Zr6GaAu3 crystal at the PBE-GGA level of DFT.

Properties
Mass density = 9.3 g/cm³
Space group = No. 58
ΔH_f (0 K) = -0.263 eV/atom

a = 4.6474 Å, b = 8.4911 Å, c = 10.8828 Å
α = 90.00°, β = 89.96°, γ = 90.00°
Last column: nearest neighbours and their distance in Å.
Fractional positions:
Zr  0.5000  0.1635  0.9164  2 Ga 2.86, 1 Au 3.00
Zr  0.4999  0.1794  0.5823  1 Ga 2.87, 2 Au 2.92
Zr  0.5004  0.4930  0.2522  1 Ga 2.70, 4 Au 2.74-2.76
Zr  0.4996  0.5070  0.7478  1 Ga 2.70, 4 Au 2.74-2.76
Zr  0.5001  0.8206  0.4177  1 Ga 2.87, 2 Au 2.92
Zr  0.5000  0.8365  0.0836  2 Ga 2.86, 1 Au 3.00
Zr  0.0000  0.3365  0.4164  2 Ga 2.86, 1 Au 3.00
Zr  0.9999  0.3206  0.0823  1 Ga 2.87, 2 Au 2.92
Zr  0.0004  0.0070  0.7522  1 Ga 2.70, 4 Au 2.74-2.76
Zr  0.9996  0.9930  0.2478  1 Ga 2.70, 4 Au 2.74-2.76
Zr  0.0001  0.6794  0.9177  1 Ga 2.87, 2 Au 2.92
Zr  0.0000  0.6635  0.5836  2 Ga 2.86, 1 Au 3.00
Ga  0.5000  0.5000  0.5000  8 Zr 2.70-2.87
Ga  0.0000  0.0000  0.0000  8 Zr 2.70-2.87
Au  0.5004  0.8325  0.7478  3 Zr 2.76
Au  0.5000  0.5000  0.0000  8 Zr 2.74-3.00
Au  0.4996  0.1675  0.2522  3 Zr 2.76
Au  0.0004  0.6675  0.2478  3 Zr 2.76
Au  0.0000  0.0000  0.5000  8 Zr 2.74-3.00
Au  0.9996  0.3325  0.7522  3 Zr 2.76



# 10
Computed, not measured: a relaxed Zr2GaAu crystal at the PBE-GGA level of DFT.

Properties
Mass density = 9.6 g/cm³
Space group = No. 123
ΔH_f (0 K) = -0.538 eV/atom

a = 3.1032 Å, b = 3.1032 Å, c = 8.0333 Å
α = 90.00°, β = 90.00°, γ = 90.00°
Last column: nearest neighbours and their distance in Å.
Fractional positions:
Au  0.5000  0.5000  0.5000  8 Zr 3.01, 4 Au 3.10
Ga  0.5000  0.5000  0.0000  8 Zr 2.94, 4 Ga 3.10
Zr  0.0000  0.0000  0.7560  4 Ga 2.94, 4 Au 3.01, 4 Zr 3.10
Zr  0.0000  0.0000  0.2440  4 Ga 2.94, 4 Au 3.01, 4 Zr 3.10



# 11
Computed, not measured: a relaxed ZrGaAu2 crystal at the PBE-GGA level of DFT.

Properties
Mass density = 12.2 g/cm³
Space group = No. 123
ΔH_f (0 K) = -0.373 eV/atom

a = 3.2273 Å, b = 3.2273 Å, c = 7.2277 Å
α = 90.00°, β = 90.00°, γ = 90.00°
Last column: nearest neighbours and their distance in Å.
Fractional positions:
Au  0.0000  0.0000  0.7639  4 Ga 2.85, 4 Zr 2.97
Au  0.0000  0.0000  0.2361  4 Ga 2.85, 4 Zr 2.97
Ga  0.5000  0.5000  0.0000  8 Au 2.85
Zr  0.5000  0.5000  0.5000  8 Au 2.97, 4 Zr 3.23



# 12
Computed, not measured: a relaxed Zr6Ga3Au crystal at the PBE-GGA level of DFT.

Properties
Mass density = 7.5 g/cm³
Space group = No. 58
ΔH_f (0 K) = -0.278 eV/atom

a = 4.7378 Å, b = 8.3415 Å, c = 10.7081 Å
α = 90.00°, β = 90.00°, γ = 90.02°
Last column: nearest neighbours and their distance in Å.
Fractional positions:
Zr  0.5000  0.1760  0.9115  1 Ga 2.86, 2 Au 2.94
Zr  0.5000  0.1609  0.5905  4 Ga 2.89-3.20, 1 Au 2.99, 2 Zr 3.20
Zr  0.4998  0.4980  0.2492  4 Ga 2.67-2.77, 1 Au 2.69
Zr  0.5002  0.5020  0.7508  4 Ga 2.67-2.77, 1 Au 2.69
Zr  0.5000  0.8391  0.4095  4 Ga 2.89-3.20, 1 Au 2.99, 2 Zr 3.20
Zr  0.5000  0.8240  0.0885  1 Ga 2.86, 2 Au 2.94
Zr  0.9999  0.3240  0.4116  1 Ga 2.86, 2 Au 2.94
Zr  0.9999  0.3391  0.0904  4 Ga 2.89-3.20, 1 Au 2.99, 2 Zr 3.20
Zr  0.9999  0.0020  0.7492  4 Ga 2.67-2.76, 1 Au 2.69
Zr  0.0001  0.9980  0.2508  4 Ga 2.67-2.76, 1 Au 2.69
Zr  0.0001  0.6609  0.9096  4 Ga 2.89-3.20, 1 Au 2.99, 2 Zr 3.20
Zr  0.0001  0.6760  0.5884  1 Ga 2.86, 2 Au 2.94
Ga  0.4999  0.8332  0.7604  3 Zr 2.76-2.77
Ga  0.5000  0.5000  0.0000  8 Zr 2.67-2.89
Ga  0.5001  0.1668  0.2396  3 Zr 2.76-2.77
Ga  0.9999  0.6668  0.2602  3 Zr 2.76
Ga  0.0000  0.0000  0.5000  8 Zr 2.67-2.89
Ga  0.0001  0.3332  0.7398  3 Zr 2.76
Au  0.5000  0.5000  0.5000  8 Zr 2.69-2.99
Au  0.0000  0.0000  0.0000  8 Zr 2.69-2.99